Here is crystalline Ca2GaMoO6 at its relaxed geometry from Alexandria via LeMat-Bulk. Energies are from PBE with a Hubbard U.

a = 5.428 Å, b = 5.602 Å, c = 7.776 Å
α = 90.00°, β = 90.25°, γ = 90.00°
Each line ends with the local moment (μB).
Fractional positions:
Ga1 0.500 0.000 0.000  0.01
Ga2 0.000 0.500 0.500  0.01
Mo1 0.000 0.500 0.000  0.94
Mo2 0.500 0.000 0.500  0.94
Ca1 0.991 0.050 0.751  0.00
Ca2 0.009 0.950 0.249  0.00
Ca3 0.509 0.550 0.749  0.00
Ca4 0.491 0.450 0.251  0.00
O1 0.089 0.469 0.747  0.02
O2 0.787 0.801 0.543  -0.02
O3 0.411 0.969 0.753  0.02
O4 0.705 0.297 0.549  0.02
O5 0.795 0.797 0.951  0.02
O6 0.213 0.199 0.457  -0.02
O7 0.205 0.203 0.049  0.02
O8 0.287 0.699 0.043  -0.02
O9 0.911 0.531 0.253  0.02
O10 0.295 0.703 0.451  0.02
O11 0.589 0.031 0.247  0.02
O12 0.713 0.301 0.957  -0.02

Properties
D(E_F), states/eV/f.u.: 0.00
Symmetry: P2_1/c
E_tot, eV/atom: -6.7017